[1]
Compound: MgScIr2
Source: Alexandria via LeMat-Bulk
Functional: PBE
Structure: optimized geometry

The structure belongs to space group P4mm (No. 99); the cell edges are 3.394, 3.394 and 5.868 Å and the angles 90.00°, 90.00° and 90.00°. Symmetry generates all atoms from Mg at (0.000, 0.000, 0.000), Sc at (0.500, 0.500, 0.307), Ir at (0.000, 0.000, 0.509) and Ir at (0.500, 0.500, 0.807).

For the density of states at the Fermi level, the calculation gives 1.3824 states/eV per atom. The value obtained for the final energy is -6.6413 eV per atom.


[2]
Compound: Pr2In6Ni
Source: Alexandria via LeMat-Bulk
Functional: PBE
Structure: optimized geometry

The structure belongs to space group Amm2 (No. 38); the cell edges are 3.942, 4.736 and 25.510 Å and the angles 90.00°, 90.00° and 90.00°. Symmetry generates all atoms from Pr at (0.000, 0.000, 0.000), Pr at (0.000, 0.000, 0.329), In at (0.000, 0.000, 0.615), In at (0.000, 0.000, 0.737), In at (0.500, 0.000, 0.104), In at (0.500, 0.000, 0.218), In at (0.500, 0.000, 0.443), In at (0.500, 0.000, 0.875) and Ni at (0.500, 0.000, 0.544).

For the density of states at the Fermi level, the calculation gives 0.6295 states/eV per atom. The value obtained for the final energy is -3.7891 eV per atom.


no.,formation energy (meV/atom)
1,-229
2,-259